# Pr2SmHo4 (PBE, relaxed)
data_Pr2SmHo4
_symmetry_space_group_name_H-M 'P 1'
_symmetry_Int_Tables_number 1
_cell_length_a 7.187
_cell_length_b 8.032
_cell_length_c 8.794
_cell_angle_alpha 111.32
_cell_angle_beta 90.10
_cell_angle_gamma 102.92
loop_
_symmetry_equiv_pos_as_xyz
'x,y,z'
loop_
_atom_site_label
_atom_site_type_symbol
_atom_site_fract_x
_atom_site_fract_y
_atom_site_fract_z
Pr1 Pr 0.000 0.000 0.000
Pr2 Pr 0.072 0.286 0.430
Pr3 Pr 0.360 0.436 0.145
Pr4 Pr 0.500 0.999 0.001
Sm1 Sm 0.785 0.147 0.715
Sm2 Sm 0.929 0.717 0.572
Ho1 Ho 0.143 0.572 0.856
Ho2 Ho 0.216 0.859 0.289
Ho3 Ho 0.288 0.145 0.714
Ho4 Ho 0.430 0.717 0.573
Ho5 Ho 0.572 0.288 0.431
Ho6 Ho 0.643 0.571 0.855
Ho7 Ho 0.714 0.858 0.288
Ho8 Ho 0.858 0.435 0.145
# Formation energy from the elements: 20 meV per atom
# Crystal system: triclinic
# Spin magnetization: 0.00 μB per formula unit



# Pr4Sm6Ho (PBE, relaxed)
data_Pr4Sm6Ho
_symmetry_space_group_name_H-M 'I -4 2 m'
_symmetry_Int_Tables_number 121
_symmetry_space_group_name_Hall 'I -4 2'
_cell_length_a 7.675
_cell_length_b 7.675
_cell_length_c 13.596
_cell_angle_alpha 90.00
_cell_angle_beta 90.00
_cell_angle_gamma 90.00
loop_
_atom_site_label
_atom_site_type_symbol
_atom_site_fract_x
_atom_site_fract_y
_atom_site_fract_z
Pr1 Pr 0.175 0.175 0.420
Sm1 Sm 0.000 0.500 0.000
Sm2 Sm 0.227 0.227 0.186
Ho1 Ho 0.000 0.000 0.000
# Formation energy from the elements: 393 meV per atom
# Crystal system: tetragonal
# Distance to the lowest polymorph of the same formula: 114 meV/atom
# Spin magnetization: 0.00 μB per formula unit



# Pr2Sm5Ho4 (PBE, relaxed)
data_Pr2Sm5Ho4
_symmetry_space_group_name_H-M 'C 1 2/m 1'
_symmetry_Int_Tables_number 12
_cell_length_a 23.654
_cell_length_b 3.607
_cell_length_c 8.836
_cell_angle_alpha 90.00
_cell_angle_beta 104.43
_cell_angle_gamma 90.00
loop_
_symmetry_equiv_pos_as_xyz
'x,y,z'
'-x,-y,-z'
'-x,y,-z'
'x,-y,z'
'x+1/2,y+1/2,z'
'-x+1/2,-y+1/2,-z'
'-x+1/2,y+1/2,-z'
'x+1/2,-y+1/2,z'
loop_
_atom_site_label
_atom_site_type_symbol
_atom_site_fract_x
_atom_site_fract_y
_atom_site_fract_z
Pr1 Pr 0.090 0.000 0.225
Sm1 Sm 0.000 0.000 0.500
Sm2 Sm 0.137 0.500 0.594
Sm3 Sm 0.227 0.500 0.314
Ho1 Ho 0.047 0.500 0.863
Ho2 Ho 0.182 0.000 0.954
# Formation energy from the elements: 19 meV per atom
# Crystal system: monoclinic
# Distance to the lowest polymorph of the same formula: 0 meV/atom
# Spin magnetization: 0.00 μB per formula unit



# Pr4Sm2Ho (PBE, relaxed)
data_Pr4Sm2Ho
_symmetry_space_group_name_H-M 'F d d 2'
_symmetry_Int_Tables_number 43
_symmetry_space_group_name_Hall 'F 2 -2d'
_cell_length_a 12.183
_cell_length_b 24.570
_cell_length_c 6.547
_cell_angle_alpha 90.00
_cell_angle_beta 90.00
_cell_angle_gamma 90.00
loop_
_atom_site_label
_atom_site_type_symbol
_atom_site_fract_x
_atom_site_fract_y
_atom_site_fract_z
Pr1 Pr 0.050 0.070 0.000
Pr2 Pr 0.065 0.144 0.529
Sm1 Sm 0.023 0.215 0.050
Ho1 Ho 0.000 0.000 0.497
# Formation energy from the elements: 61 meV per atom
# Crystal system: orthorhombic
# Distance to the lowest polymorph of the same formula: 0 meV/atom
# Spin magnetization: 0.00 μB per formula unit



# PrSm12Ho3 (PBE, relaxed)
data_PrSm12Ho3
_symmetry_space_group_name_H-M 'P 4/m m m'
_symmetry_Int_Tables_number 123
_symmetry_space_group_name_Hall '-P 4 2'
_cell_length_a 5.110
_cell_length_b 5.110
_cell_length_c 20.423
_cell_angle_alpha 90.00
_cell_angle_beta 90.00
_cell_angle_gamma 90.00
loop_
_atom_site_label
_atom_site_type_symbol
_atom_site_fract_x
_atom_site_fract_y
_atom_site_fract_z
Pr1 Pr 0.000 0.000 0.000
Sm1 Sm 0.000 0.500 0.127
Sm2 Sm 0.000 0.500 0.376
Sm3 Sm 0.500 0.500 0.000
Sm4 Sm 0.500 0.500 0.252
Sm5 Sm 0.500 0.500 0.500
Ho1 Ho 0.000 0.000 0.252
Ho2 Ho 0.000 0.000 0.500
# Formation energy from the elements: 17 meV per atom
# Crystal system: tetragonal
# Spin magnetization: 0.00 μB per formula unit



# PrSm3Ho (PBE, relaxed)
data_PrSm3Ho
_symmetry_space_group_name_H-M 'P n m a'
_symmetry_Int_Tables_number 62
_cell_length_a 10.234
_cell_length_b 3.626
_cell_length_c 18.135
_cell_angle_alpha 90.00
_cell_angle_beta 90.00
_cell_angle_gamma 90.00
loop_
_symmetry_equiv_pos_as_xyz
'x,y,z'
'-x,-y,-z'
'-x+1/2,-y,z+1/2'
'x+1/2,y,-z+1/2'
'x+1/2,-y+1/2,-z+1/2'
'-x+1/2,y+1/2,z+1/2'
'-x,y+1/2,-z'
'x,-y+1/2,z'
loop_
_atom_site_label
_atom_site_type_symbol
_atom_site_fract_x
_atom_site_fract_y
_atom_site_fract_z
Pr1 Pr 0.127 0.250 0.149
Sm1 Sm 0.123 0.250 0.351
Sm2 Sm 0.125 0.250 0.750
Sm3 Sm 0.128 0.250 0.951
Ho1 Ho 0.122 0.250 0.549
# Formation energy from the elements: 17 meV per atom
# Crystal system: orthorhombic
# Distance to the lowest polymorph of the same formula: 0 meV/atom
# Spin magnetization: 0.00 μB per formula unit



# Pr8Sm3Ho2 (PBE, relaxed)
data_Pr8Sm3Ho2
_symmetry_space_group_name_H-M 'C 1 2/m 1'
_symmetry_Int_Tables_number 12
_cell_length_a 20.605
_cell_length_b 7.771
_cell_length_c 5.845
_cell_angle_alpha 90.00
_cell_angle_beta 90.03
_cell_angle_gamma 90.00
loop_
_symmetry_equiv_pos_as_xyz
'x,y,z'
'-x,-y,-z'
'-x,y,-z'
'x,-y,z'
'x+1/2,y+1/2,z'
'-x+1/2,-y+1/2,-z'
'-x+1/2,y+1/2,-z'
'x+1/2,-y+1/2,z'
loop_
_atom_site_label
_atom_site_type_symbol
_atom_site_fract_x
_atom_site_fract_y
_atom_site_fract_z
Pr1 Pr 0.107 0.207 0.000
Pr2 Pr 0.133 0.500 0.499
Pr3 Pr 0.175 0.000 0.501
Sm1 Sm 0.000 0.214 0.500
Sm2 Sm 0.000 0.500 0.000
Ho1 Ho 0.241 0.500 0.999
# Formation energy from the elements: 203 meV per atom
# Crystal system: monoclinic
# Distance to the lowest polymorph of the same formula: 34 meV/atom
# Spin magnetization: 0.00 μB per formula unit



# PrSm4Ho (PBE, relaxed)
data_PrSm4Ho
_symmetry_space_group_name_H-M 'C m m m'
_symmetry_Int_Tables_number 65
_symmetry_space_group_name_Hall '-C 2 2'
_cell_length_a 5.137
_cell_length_b 15.405
_cell_length_c 5.114
_cell_angle_alpha 90.00
_cell_angle_beta 90.00
_cell_angle_gamma 90.00
loop_
_atom_site_label
_atom_site_type_symbol
_atom_site_fract_x
_atom_site_fract_y
_atom_site_fract_z
Pr1 Pr 0.000 0.000 0.000
Sm1 Sm 0.000 0.167 0.500
Sm2 Sm 0.000 0.334 0.000
Ho1 Ho 0.000 0.500 0.500
# Formation energy from the elements: 16 meV per atom
# Crystal system: orthorhombic
# Distance to the lowest polymorph of the same formula: 0 meV/atom
# Spin magnetization: 0.00 μB per formula unit



Number 6 is which compound? PrSm3Ho